Here is a relaxed Ca2AlAu2 crystal from Alexandria. Energies are from PBE.

Values from the calculation:
raw total energy: -3.22 eV per atom
V: 25.1 A^3/atom
N(E_F): 6.62 states/eV/cell

Lattice parameters (Å, degrees): 8.4494 8.4494 3.5196 90.00 90.00 90.00
Fractional coordinates of all 10 atoms:
Ca (0.3374, 0.8374, 0.0000)
Ca (0.8374, 0.6626, 0.0000)
Ca (0.1626, 0.3374, 0.0000)
Ca (0.6626, 0.1626, 0.0000)
Al (0.5000, 0.5000, 0.0000)
Al (0.0000, 0.0000, 0.0000)
Au (0.6309, 0.8691, 0.5000)
Au (0.8691, 0.3691, 0.5000)
Au (0.3691, 0.1309, 0.5000)
Au (0.1309, 0.6309, 0.5000)


Here is a relaxed CaAlAu3 crystal from Alexandria. Energies are from PBE.

Values from the calculation:
distance to the lowest polymorph of the same formula: 1074 meV per atom
raw total energy: -2.62 eV per atom
V: 33.1 A^3/atom
N(E_F): 0.00 states/eV/cell

Lattice parameters (Å, degrees): 5.4912 5.4912 5.4912 90.00 90.00 90.00
Fractional coordinates of all 5 atoms:
Au (0.0000, 0.0000, 0.5000)
Au (0.0000, 0.5000, 0.0000)
Au (0.5000, 0.0000, 0.0000)
Ca (0.0000, 0.0000, 0.0000)
Al (0.5000, 0.5000, 0.5000)


Here is a relaxed CaAl2Au crystal from Alexandria. Energies are from PBE.

Values from the calculation:
raw total energy: -3.62 eV per atom
V: 22.7 A^3/atom
N(E_F): 2.44 states/eV/cell

Lattice parameters (Å, degrees): 6.0831 6.0831 6.0831 41.89 41.89 41.89
Fractional coordinates of all 4 atoms:
Au (0.7500, 0.7500, 0.7500)
Ca (0.2500, 0.2500, 0.2500)
Al (0.4603, 0.4603, 0.4603)
Al (0.0397, 0.0397, 0.0397)


Here is a relaxed CaAlAu3 crystal from Alexandria. Energies are from PBE.

Values from the calculation:
distance to the lowest polymorph of the same formula: 0 meV per atom
raw total energy: -3.69 eV per atom
V: 20.7 A^3/atom
N(E_F): 7.06 states/eV/cell

Lattice parameters (Å, degrees): 4.4424 8.6729 10.7340 90.00 90.00 90.00
Fractional coordinates of all 20 atoms:
Au (0.7500, 0.4357, 0.9145)
Au (0.2500, 0.8522, 0.2100)
Au (0.7500, 0.6478, 0.7100)
Au (0.2500, 0.8917, 0.8179)
Au (0.2500, 0.0643, 0.4145)
Au (0.7500, 0.1478, 0.7900)
Au (0.2500, 0.3917, 0.6821)
Au (0.7500, 0.1083, 0.1821)
Au (0.7500, 0.6083, 0.3179)
Au (0.2500, 0.3522, 0.2900)
Au (0.2500, 0.5643, 0.0855)
Au (0.7500, 0.9357, 0.5855)
Al (0.7500, 0.8994, 0.3499)
Al (0.7500, 0.3994, 0.1501)
Al (0.2500, 0.1006, 0.6501)
Al (0.2500, 0.6006, 0.8499)
Ca (0.7500, 0.8133, 0.0045)
Ca (0.2500, 0.6867, 0.5045)
Ca (0.2500, 0.1867, 0.9955)
Ca (0.7500, 0.3133, 0.4955)